Crystalline MnHgRh2Au at its relaxed geometry. Source: Alexandria via LeMat-Bulk, functional PBE.

abc: 4.9514 4.7908 4.9514
angles: 90.00 90.00 90.00
Closest atoms and distances in Å follow each position.
Positions (direct):
Hg  0.5000  0.5000  0.5000  8 Rh 3.44, 4 Mn 3.50
Au  0.0000  0.0000  0.0000  2 Mn 2.40, 4 Rh 2.48
Rh  0.0000  0.0000  0.5000  2 Au 2.48
Rh  0.5000  0.0000  0.0000  2 Au 2.48
Mn  0.0000  0.5000  0.0000  2 Au 2.40

- Volume: 117 Å³ per cell
- Formation energy from the elements: 1.1698 eV/atom
- Energy: -4.321 eV per atom